--- P ---
Entry from Alexandria: crystalline BaMgAs3 at its relaxed geometry (PBE).

Cell lengths 5.7773, 5.7773, 5.7773 Å; angles 90.00, 90.00, 90.00 degrees
Space group Pm-3m (No. 221)
Unique sites:
Ba1 0.0000 0.0000 0.0000 (multiplicity 1)
Mg1 0.5000 0.5000 0.5000 (multiplicity 1)
As1 0.0000 0.0000 0.5000 (multiplicity 3)

--- Q ---
Entry from Alexandria: crystalline BaMgAs3 at its relaxed geometry (PBE).

Cell lengths 5.1365, 5.1365, 5.1365 Å; angles 90.00, 90.00, 90.00 degrees
Space group Pm-3m (No. 221)
Unique sites:
Ba1 0.0000 0.0000 0.0000 (multiplicity 1)
Mg1 0.5000 0.5000 0.5000 (multiplicity 1)
As1 0.0000 0.5000 0.5000 (multiplicity 3)

Stability summary: most stable Q, least stable P.